[1]
Here is Tb2HoPb3 after structural relaxation from Alexandria via LeMat-Bulk. Energies are from PBE-GGA.

## Properties
M_tot ... 0.00 μB per atom
Total DFT energy (no corrections) ... -55.9 eV per cell
Space-group type ... C2/c

Cell lengths 9.0603, 9.0603, 6.4097 Å; angles 100.14, 100.14, 41.45 degrees
Closest atoms and distances in Å follow each position.
Atoms (fractional coordinates):
Tb: 0.0412 0.2922 0.0845  6 Pb 3.20-3.58, 1 Ho 3.58, 3 Tb 3.58-3.59
Tb: 0.2922 0.0412 0.5845  6 Pb 3.20-3.58, 1 Ho 3.58, 3 Tb 3.58-3.59
Tb: 0.7078 0.9588 0.4155  6 Pb 3.20-3.58, 1 Ho 3.58, 3 Tb 3.58-3.59
Tb: 0.9588 0.7078 0.9155  6 Pb 3.20-3.58, 1 Ho 3.58, 3 Tb 3.58-3.59
Ho: 0.3757 0.6243 0.7500  6 Pb 3.19-3.57
Ho: 0.6243 0.3757 0.2500  6 Pb 3.19-3.57
Pb: 0.1241 0.8759 0.2500  4 Ho 3.21-3.59, 4 Tb 3.21-3.58, 4 Pb 3.58
Pb: 0.2091 0.4589 0.4173  2 Ho 3.19-3.57, 4 Tb 3.20-3.57, 1 Pb 3.58
Pb: 0.4589 0.2091 0.9173  2 Ho 3.19-3.57, 4 Tb 3.20-3.57, 1 Pb 3.58
Pb: 0.5411 0.7909 0.0827  2 Ho 3.19-3.57, 4 Tb 3.20-3.57, 1 Pb 3.58
Pb: 0.7909 0.5411 0.5827  2 Ho 3.19-3.57, 4 Tb 3.20-3.57, 1 Pb 3.58
Pb: 0.8759 0.1241 0.7500  4 Ho 3.21-3.59, 4 Tb 3.21-3.58, 4 Pb 3.58


[2]
Here is Tb2HoPb after structural relaxation from Alexandria via LeMat-Bulk. Energies are from PBE-GGA.

## Properties
M_tot ... 0.00 μB per atom
Excess energy over the best structure of this formula in the dataset ... 0.076 eV per atom
Space-group type ... P4/mmm

Cell lengths 3.6181, 3.6181, 9.3416 Å; angles 90.00, 90.00, 90.00 degrees
Closest atoms and distances in Å follow each position.
Atoms (fractional coordinates):
Tb: 0.0000 0.0000 0.2361  4 Pb 3.38, 4 Ho 3.55, 4 Tb 3.62
Tb: 0.0000 0.0000 0.7639  4 Pb 3.38, 4 Ho 3.55, 4 Tb 3.62
Ho: 0.5000 0.5000 0.5000  8 Tb 3.55, 4 Ho 3.62
Pb: 0.5000 0.5000 0.0000  8 Tb 3.38, 4 Pb 3.62


[3]
Here is Tb8Ho6Pb after structural relaxation from Alexandria via LeMat-Bulk. Energies are from PBE-GGA.

## Properties
M_tot ... 0.00 μB per atom
Total DFT energy (no corrections) ... -65.6 eV per cell
Space-group type ... P-3

Cell lengths 9.1283, 9.1283, 6.7551 Å; angles 90.00, 90.00, 120.00 degrees
Closest atoms and distances in Å follow each position.
Atoms (fractional coordinates):
Tb: 0.0116 0.3215 0.3828  3 Ho 3.15-3.53, 3 Tb 3.24-3.29
Tb: 0.3099 0.9884 0.3828  3 Ho 3.15-3.53, 3 Tb 3.24-3.29
Tb: 0.3215 0.3099 0.6172  3 Ho 3.15-3.53, 3 Tb 3.24-3.29
Tb: 0.3333 0.6667 0.6884  3 Tb 3.24
Tb: 0.6667 0.3333 0.3116  3 Tb 3.24
Tb: 0.6785 0.6901 0.3828  3 Ho 3.15-3.53, 3 Tb 3.24-3.29
Tb: 0.6901 0.0116 0.6172  3 Ho 3.15-3.53, 3 Tb 3.24-3.29
Tb: 0.9884 0.6785 0.6172  3 Ho 3.15-3.53, 3 Tb 3.24-3.29
Ho: 0.0759 0.6794 0.1082  3 Tb 3.15-3.53, 1 Ho 3.20, 1 Pb 3.41
Ho: 0.3206 0.3965 0.1082  3 Tb 3.15-3.53, 1 Ho 3.20, 1 Pb 3.41
Ho: 0.3965 0.0759 0.8918  3 Tb 3.15-3.53, 1 Ho 3.20, 1 Pb 3.41
Ho: 0.6035 0.9241 0.1082  3 Tb 3.15-3.53, 1 Ho 3.20, 1 Pb 3.41
Ho: 0.6794 0.6035 0.8918  3 Tb 3.15-3.53, 1 Ho 3.20, 1 Pb 3.41
Ho: 0.9241 0.3206 0.8918  3 Tb 3.15-3.53, 1 Ho 3.20, 1 Pb 3.41
Pb: 0.0000 0.0000 0.0000  6 Ho 3.41


[4]
Here is Tb4HoPb2 after structural relaxation from Alexandria via LeMat-Bulk. Energies are from PBE-GGA.

## Properties
M_tot ... 0.00 μB per atom
Total DFT energy (no corrections) ... -27.6 eV per cell
Space-group type ... I4/mmm

Cell lengths 9.1442, 9.1442, 9.1442 Å; angles 145.75, 145.75, 49.22 degrees
Closest atoms and distances in Å follow each position.
Atoms (fractional coordinates):
Tb: 0.0000 0.5000 0.5000  2 Ho 2.69
Tb: 0.1831 0.1831 0.0000  1 Ho 3.04, 1 Pb 3.10
Tb: 0.5000 0.0000 0.5000  2 Ho 2.69
Tb: 0.8169 0.8169 0.0000  1 Ho 3.04, 1 Pb 3.10
Ho: 0.0000 0.0000 0.0000  4 Tb 2.69
Pb: 0.3693 0.3693 0.0000  5 Tb 3.10-3.46
Pb: 0.6307 0.6307 0.0000  5 Tb 3.10-3.46


[5]
Here is Tb2HoPb2 after structural relaxation from Alexandria via LeMat-Bulk. Energies are from PBE-GGA.

## Properties
M_tot ... 0.00 μB per atom
Total DFT energy (no corrections) ... -47.0 eV per cell
Space-group type ... Cmc2_1

Cell lengths 9.5216, 9.5216, 6.5444 Å; angles 90.00, 90.00, 149.46 degrees
Closest atoms and distances in Å follow each position.
Atoms (fractional coordinates):
Tb: 0.9995 0.0005 0.0000  2 Tb 3.27, 4 Pb 3.30, 4 Ho 3.56-3.57
Tb: 0.0005 0.9995 0.5000  2 Tb 3.27, 4 Pb 3.30, 4 Ho 3.56-3.57
Tb: 0.1897 0.8103 0.7521  6 Pb 3.27-3.28
Tb: 0.8103 0.1897 0.2521  6 Pb 3.27-3.28
Ho: 0.3945 0.6055 0.7492  5 Pb 3.01-3.33
Ho: 0.6055 0.3945 0.2492  5 Pb 3.01-3.33
Pb: 0.1964 0.8036 0.2524  2 Ho 3.01, 4 Tb 3.27-3.28
Pb: 0.4244 0.5756 0.2500  6 Tb 3.27-3.30, 3 Ho 3.31-3.33
Pb: 0.5756 0.4244 0.7500  6 Tb 3.27-3.30, 3 Ho 3.31-3.33
Pb: 0.8036 0.1964 0.7524  2 Ho 3.01, 4 Tb 3.27-3.28


[6]
Here is Tb3HoPb2 after structural relaxation from Alexandria via LeMat-Bulk. Energies are from PBE-GGA.

## Properties
M_tot ... 0.00 μB per atom
Excess energy over the best structure of this formula in the dataset ... 0.000 eV per atom
Space-group type ... P-4m2

Cell lengths 4.5676, 4.5676, 8.6074 Å; angles 90.00, 90.00, 90.00 degrees
Closest atoms and distances in Å follow each position.
Atoms (fractional coordinates):
Tb: 0.0000 0.0000 0.0000  4 Ho 3.23, 4 Pb 3.35
Tb: 0.0000 0.5000 0.6577  5 Pb 3.21-3.27
Tb: 0.5000 0.0000 0.3423  5 Pb 3.21-3.27
Ho: 0.5000 0.5000 0.0000  4 Tb 3.23, 4 Pb 3.35
Pb: 0.0000 0.5000 0.2845  7 Tb 3.21-3.35, 2 Ho 3.35
Pb: 0.5000 0.0000 0.7155  7 Tb 3.21-3.35, 2 Ho 3.35


[7]
Here is Tb3HoPb2 after structural relaxation from Alexandria via LeMat-Bulk. Energies are from PBE-GGA.

## Properties
M_tot ... 0.00 μB per atom
Excess energy over the best structure of this formula in the dataset ... 0.055 eV per atom
Space-group type ... Cmmm

Cell lengths 8.3747, 8.3747, 4.4195 Å; angles 90.00, 90.00, 145.87 degrees
Closest atoms and distances in Å follow each position.
Atoms (fractional coordinates):
Tb: 0.0000 0.0000 0.0000  4 Pb 3.27, 4 Ho 3.30
Tb: 0.3251 0.6749 0.0000  6 Pb 3.33-3.56, 4 Tb 3.44-3.73, 2 Ho 3.57
Tb: 0.6749 0.3251 0.0000  6 Pb 3.33-3.56, 4 Tb 3.44-3.73, 2 Ho 3.57
Ho: 0.5000 0.5000 0.5000  8 Tb 3.30-3.57, 4 Pb 3.44
Pb: 0.1506 0.8494 0.5000  8 Tb 3.27-3.56, 2 Ho 3.44
Pb: 0.8494 0.1506 0.5000  8 Tb 3.27-3.56, 2 Ho 3.44


[8]
Here is Tb3HoPb4 after structural relaxation from Alexandria via LeMat-Bulk. Energies are from PBE-GGA.

## Properties
M_tot ... 0.00 μB per atom
Total DFT energy (no corrections) ... -73.8 eV per cell
Space-group type ... Pmn2_1

Cell lengths 11.1572, 6.4209, 6.4229 Å; angles 90.00, 90.00, 90.00 degrees
Closest atoms and distances in Å follow each position.
Atoms (fractional coordinates):
Tb: 0.0000 0.0004 0.0000  6 Pb 3.21-3.59
Tb: 0.2500 0.2505 0.2504  5 Pb 3.21-3.59
Tb: 0.2500 0.7495 0.7504  5 Pb 3.21-3.59
Tb: 0.5000 0.9996 0.5000  6 Pb 3.21-3.59
Tb: 0.7500 0.2505 0.2504  5 Pb 3.21-3.59
Tb: 0.7500 0.7495 0.7504  5 Pb 3.21-3.59
Ho: 0.0000 0.5006 0.5002  4 Pb 3.21
Ho: 0.5000 0.4994 0.0002  4 Pb 3.21
Pb: 0.0000 0.0005 0.5000  2 Ho 3.21, 2 Tb 3.21
Pb: 0.0000 0.5005 0.0002  4 Tb 3.21-3.59, 2 Ho 3.21
Pb: 0.2499 0.2498 0.7504  5 Tb 3.21-3.59
Pb: 0.2501 0.7502 0.2504  5 Tb 3.21-3.59
Pb: 0.5000 0.9995 0.0000  2 Ho 3.21, 2 Tb 3.21
Pb: 0.5000 0.4995 0.5002  4 Tb 3.21-3.59, 2 Ho 3.21
Pb: 0.7501 0.2498 0.7504  5 Tb 3.21-3.59
Pb: 0.7499 0.7502 0.2504  5 Tb 3.21-3.59